VASP calculation (GGA-PBE) on a relaxed MgPbAu4 crystal.

Cell: 5.6264 5.6264 5.6264 Å, 60.00 60.00 60.00°
Atoms (fractional coordinates):
Au 0.8735 0.3755 0.3755
Au 0.3755 0.8735 0.3755
Au 0.3755 0.3755 0.3755
Au 0.3755 0.3755 0.8735
Pb 0.0000 0.0000 0.0000
Mg 0.7500 0.7500 0.7500

Properties
ΔE to the lowest computed polymorph   3.1 meV per atom



VASP calculation (GGA-PBE) on a relaxed PmSn3Pd3 crystal.

Cell: 7.2464 7.2464 7.2464 Å, 90.00 90.00 90.00°
Atoms (fractional coordinates):
Pd 0.0000 0.7500 0.5000
Pd 0.2500 0.5000 0.0000
Pd 0.5000 0.0000 0.7500
Pd 0.0000 0.2500 0.5000
Pd 0.5000 0.0000 0.2500
Pd 0.7500 0.5000 0.0000
Pm 0.5000 0.5000 0.5000
Pm 0.0000 0.0000 0.0000
Sn 0.5000 0.2500 0.0000
Sn 0.5000 0.7500 0.0000
Sn 0.0000 0.5000 0.7500
Sn 0.2500 0.0000 0.5000
Sn 0.7500 0.0000 0.5000
Sn 0.0000 0.5000 0.2500

Properties
ΔE to the lowest computed polymorph   363.4 meV per atom



VASP calculation (GGA-PBE) on a relaxed TmPuInGa crystal.

Cell: 5.1863 5.1863 5.1863 Å, 60.00 60.00 60.00°
Atoms (fractional coordinates):
Tm 0.5000 0.5000 0.5000
Pu 0.0000 0.0000 0.0000
In 0.7500 0.7500 0.7500
Ga 0.2500 0.2500 0.2500

Properties
Uncorrected energy   -6.4495 eV per atom



VASP calculation (GGA-PBE) on a relaxed DyCoC crystal.

Cell: 3.4641 5.9526 7.7784 Å, 90.00 90.00 90.00°
Atoms (fractional coordinates):
Co 0.7500 0.9155 0.2500
Co 0.2500 0.0845 0.7500
Co 0.2500 0.4155 0.2500
Co 0.7500 0.5845 0.7500
C 0.7500 0.9170 0.7500
C 0.7500 0.5830 0.2500
C 0.2500 0.4170 0.7500
C 0.2500 0.0830 0.2500
Dy 0.7500 0.2500 0.5001
Dy 0.2500 0.7500 0.9999
Dy 0.2500 0.7500 0.4999
Dy 0.7500 0.2500 0.0001

Properties
ΔE to the lowest computed polymorph   186.3 meV per atom



VASP calculation (GGA-PBE) on a relaxed Na2OF3 crystal.

Cell: 4.6092 5.7963 7.4507 Å, 112.46 90.38 111.11°
Atoms (fractional coordinates):
Na 0.8185 0.6201 0.4104
Na 0.1815 0.3799 0.5896
Na 0.5389 0.0619 0.7369
Na 0.4611 0.9381 0.2631
F 0.0259 0.0300 0.7025
F 0.6972 0.2624 0.1037
F 0.3469 0.6763 0.4388
F 0.6531 0.3237 0.5612
F 0.9741 0.9700 0.2975
F 0.3028 0.7376 0.8963
O 0.0267 0.0943 0.0752
O 0.9733 0.9057 0.9248

Properties
Uncorrected energy   -4.0157 eV per atom



VASP calculation (GGA-PBE) on a relaxed CaTl2Ag crystal.

Cell: 5.7745 5.7745 5.7745 Å, 131.79 131.79 70.56°
Atoms (fractional coordinates):
Tl 0.0000 0.0000 0.0000
Tl 0.2500 0.7500 0.5000
Ca 0.7500 0.2500 0.5000
Ag 0.5000 0.5000 0.0000

Properties
Uncorrected energy   -2.5706 eV per atom



VASP calculation (GGA-PBE) on a relaxed Pr4AsP2 crystal.

Cell: 4.1868 7.1809 13.7721 Å, 90.00 90.00 106.95°
Atoms (fractional coordinates):
Pr 0.7722 0.5445 0.3793
Pr 0.7722 0.5445 0.1207
Pr 0.2278 0.4555 0.8793
Pr 0.9512 0.9024 0.7500
Pr 0.5000 0.0000 0.5000
Pr 0.0488 0.0976 0.2500
Pr 0.2278 0.4555 0.6207
Pr 0.5000 0.0000 0.0000
As 0.3950 0.7901 0.2500
As 0.6050 0.2099 0.7500
P 0.1378 0.2755 0.0627
P 0.1378 0.2755 0.4373
P 0.8622 0.7245 0.9373
P 0.8622 0.7245 0.5627

Properties
Uncorrected energy   -6.2281 eV per atom



VASP calculation (GGA-PBE) on a relaxed AcPr2Au crystal.

Cell: 5.6052 5.6052 5.6052 Å, 60.00 60.00 60.00°
Atoms (fractional coordinates):
Pr 0.7500 0.7500 0.7500
Pr 0.2500 0.2500 0.2500
Ac 0.0000 0.0000 0.0000
Au 0.5000 0.5000 0.5000

Properties
ΔE to the lowest computed polymorph   345.1 meV per atom



VASP calculation (GGA-PBE) on a relaxed PmAl2Co2Si crystal.

Cell: 4.2449 4.2449 5.6640 Å, 90.00 90.00 90.00°
Atoms (fractional coordinates):
Pm 0.0000 0.0000 0.5000
Al 0.5000 0.5000 0.7489
Al 0.5000 0.5000 0.2511
Co 0.5000 0.0000 0.0000
Co 0.0000 0.5000 0.0000
Si 0.0000 0.0000 0.0000

Properties
Uncorrected energy   -5.7088 eV per atom



Number 1: N(E_F) 2.3 states/eV per cell. Number 2: N(E_F) 10.8 states/eV per cell. Number 3: N(E_F) 7.8 states/eV per cell. Number 4: N(E_F) 12.6 states/eV per cell. Number 5: N(E_F) 1.8 states/eV per cell. Number 6: N(E_F) 1.6 states/eV per cell. Number 7: N(E_F) 8.7 states/eV per cell. Number 8: N(E_F) 7.4 states/eV per cell. Number 9: N(E_F) 5.2 states/eV per cell.